Entry 1:
Compound: LiNb2TlPt
Source: Alexandria via LeMat-Bulk
Functional: PBE
Structure: relaxed Values from VASP.

Energy relative to the elements = 0.584 eV per atom
DOS at the Fermi energy = 5.1 states/eV/cell
E_tot = -5.5076 eV per atom
Calculated density = 8878 kg/m³

```
&SYSTEM
  ibrav = 0, nat = 5, ntyp = 4
/
ATOMIC_SPECIES
Li 6.94 Li.upf
Nb 92.91 Nb.upf
Tl 204.38 Tl.upf
Pt 195.08 Pt.upf
CELL_PARAMETERS angstrom
4.959 0.000 0.000
0.000 4.959 0.000
0.000 0.000 4.504
ATOMIC_POSITIONS crystal
Li 0.000 0.000 0.000
Nb 0.000 0.500 0.500
Nb 0.500 0.000 0.500
Tl 0.500 0.500 0.000
Pt 0.000 0.000 0.500
```

---

Entry 2:
Compound: LiZrNb2Pt
Source: Alexandria via LeMat-Bulk
Functional: PBE
Structure: relaxed Values from VASP.

Energy relative to the elements = 1.251 eV per atom
DOS at the Fermi energy = 6.6 states/eV/cell
E_tot = -6.0771 eV per atom
Calculated density = 6459 kg/m³

```
&SYSTEM
  ibrav = 0, nat = 5, ntyp = 4
/
ATOMIC_SPECIES
Li 6.94 Li.upf
Zr 91.22 Zr.upf
Nb 92.91 Nb.upf
Pt 195.08 Pt.upf
CELL_PARAMETERS angstrom
4.949 0.000 0.000
0.000 4.949 0.000
0.000 0.000 5.028
ATOMIC_POSITIONS crystal
Li 0.000 0.000 0.000
Zr 0.500 0.500 0.500
Nb 0.000 0.500 0.500
Nb 0.500 0.000 0.500
Pt 0.500 0.500 0.000
```

---

Entry 3:
Compound: Li3Pu3NbSe8
Source: Alexandria via LeMat-Bulk
Functional: PBE
Structure: relaxed Values from VASP.

Raw formation energy = -1232 meV per atom
DOS at the Fermi energy = 35.1 states/eV/cell
E_tot = -7.0106 eV per atom
Calculated density = 6708 kg/m³

```
&SYSTEM
  ibrav = 0, nat = 15, ntyp = 4
/
ATOMIC_SPECIES
Li 6.94 Li.upf
Pu 244.00 Pu.upf
Nb 92.91 Nb.upf
Se 78.96 Se.upf
CELL_PARAMETERS angstrom
6.898 -4.046 0.000
6.898 4.046 0.000
-4.510 0.000 6.552
ATOMIC_POSITIONS crystal
Li 0.000 0.000 0.000
Li 0.000 0.500 0.500
Li 0.500 0.000 0.500
Pu 0.000 0.500 0.000
Pu 0.500 0.000 0.000
Pu 0.500 0.500 0.500
Nb 0.000 0.000 0.500
Se 0.228 0.764 0.735
Se 0.236 0.772 0.265
Se 0.237 0.237 0.731
Se 0.245 0.245 0.253
Se 0.755 0.755 0.747
Se 0.763 0.763 0.269
Se 0.764 0.228 0.735
Se 0.772 0.236 0.265
```

---

Entry 4:
Compound: Rb3LiNb
Source: Alexandria via LeMat-Bulk
Functional: PBE
Structure: relaxed Values from VASP.

Energy relative to the elements = 1.144 eV per atom
DOS at the Fermi energy = 1.3 states/eV/cell
E_tot = -1.8332 eV per atom
Calculated density = 1656 kg/m³

```
&SYSTEM
  ibrav = 0, nat = 5, ntyp = 3
/
ATOMIC_SPECIES
Rb 85.47 Rb.upf
Li 6.94 Li.upf
Nb 92.91 Nb.upf
CELL_PARAMETERS angstrom
7.096 0.000 0.000
0.000 7.096 0.000
0.000 0.000 7.096
ATOMIC_POSITIONS crystal
Rb 0.000 0.000 0.500
Rb 0.000 0.500 0.000
Rb 0.500 0.000 0.000
Li 0.500 0.500 0.500
Nb 0.000 0.000 0.000
```

---

Entry 5:
Compound: Rb2LiNb
Source: Alexandria via LeMat-Bulk
Functional: PBE
Structure: relaxed Values from VASP.

Energy relative to the elements = 1.308 eV per atom
DOS at the Fermi energy = 9.2 states/eV/cell
E_tot = -2.1712 eV per atom
Calculated density = 2530 kg/m³

```
&SYSTEM
  ibrav = 0, nat = 8, ntyp = 3
/
ATOMIC_SPECIES
Rb 85.47 Rb.upf
Li 6.94 Li.upf
Nb 92.91 Nb.upf
CELL_PARAMETERS angstrom
-5.064 5.064 3.465
5.064 -5.064 3.465
5.064 5.064 -3.465
ATOMIC_POSITIONS crystal
Rb 0.108 0.625 0.983
Rb 0.375 0.358 0.483
Rb 0.642 0.125 0.017
Rb 0.875 0.892 0.517
Li 0.000 0.000 0.000
Li 0.750 0.250 0.500
Nb 0.250 0.750 0.500
Nb 0.500 0.500 0.000
```

---

Entry 6:
Compound: RbLiNb3
Source: Alexandria via LeMat-Bulk
Functional: PBE
Structure: relaxed Values from VASP.

Energy relative to the elements = 1.870 eV per atom
DOS at the Fermi energy = 9.5 states/eV/cell
E_tot = -4.7486 eV per atom
Calculated density = 5612 kg/m³

```
&SYSTEM
  ibrav = 0, nat = 5, ntyp = 3
/
ATOMIC_SPECIES
Rb 85.47 Rb.upf
Li 6.94 Li.upf
Nb 92.91 Nb.upf
CELL_PARAMETERS angstrom
4.789 0.000 0.000
0.000 4.789 0.000
0.000 0.000 4.789
ATOMIC_POSITIONS crystal
Rb 0.000 0.000 0.000
Li 0.500 0.500 0.500
Nb 0.000 0.500 0.500
Nb 0.500 0.000 0.500
Nb 0.500 0.500 0.000
```

---

Entry 7:
Compound: Rb2Li2Nb
Source: Alexandria via LeMat-Bulk
Functional: PBE
Structure: relaxed Values from VASP.

Energy relative to the elements = 1.053 eV per atom
DOS at the Fermi energy = 6.4 states/eV/cell
E_tot = -2.1136 eV per atom
Calculated density = 2440 kg/m³

```
&SYSTEM
  ibrav = 0, nat = 10, ntyp = 3
/
ATOMIC_SPECIES
Rb 85.47 Rb.upf
Li 6.94 Li.upf
Nb 92.91 Nb.upf
CELL_PARAMETERS angstrom
10.568 0.000 0.000
0.000 10.568 0.000
0.000 0.000 3.385
ATOMIC_POSITIONS crystal
Rb 0.199 0.301 0.000
Rb 0.301 0.801 0.000
Rb 0.699 0.199 0.000
Rb 0.801 0.699 0.000
Li 0.095 0.595 0.500
Li 0.405 0.095 0.500
Li 0.595 0.905 0.500
Li 0.905 0.405 0.500
Nb 0.000 0.000 0.500
Nb 0.500 0.500 0.500
```

---

Entry 8:
Compound: RbLiNb3
Source: Alexandria via LeMat-Bulk
Functional: PBE
Structure: relaxed Values from VASP.

Energy relative to the elements = 2.698 eV per atom
DOS at the Fermi energy = 5.6 states/eV/cell
E_tot = -3.9199 eV per atom
Calculated density = 5391 kg/m³

```
&SYSTEM
  ibrav = 0, nat = 5, ntyp = 3
/
ATOMIC_SPECIES
Rb 85.47 Rb.upf
Li 6.94 Li.upf
Nb 92.91 Nb.upf
CELL_PARAMETERS angstrom
4.853 0.000 0.000
0.000 4.853 0.000
0.000 0.000 4.853
ATOMIC_POSITIONS crystal
Rb 0.000 0.000 0.000
Li 0.500 0.500 0.500
Nb 0.000 0.000 0.500
Nb 0.000 0.500 0.000
Nb 0.500 0.000 0.000
```

---

Entry 9:
Compound: Rb2Li2Nb
Source: Alexandria via LeMat-Bulk
Functional: PBE
Structure: relaxed Values from VASP.

Energy relative to the elements = 1.190 eV per atom
DOS at the Fermi energy = 3.5 states/eV/cell
E_tot = -1.9762 eV per atom
Calculated density = 2510 kg/m³

```
&SYSTEM
  ibrav = 0, nat = 5, ntyp = 3
/
ATOMIC_SPECIES
Rb 85.47 Rb.upf
Li 6.94 Li.upf
Nb 92.91 Nb.upf
CELL_PARAMETERS angstrom
-2.452 2.452 7.640
2.452 -2.452 7.640
2.452 2.452 -7.640
ATOMIC_POSITIONS crystal
Rb 0.250 0.750 0.500
Rb 0.750 0.250 0.500
Li 0.077 0.077 0.000
Li 0.923 0.923 0.000
Nb 0.500 0.500 0.000
```

---

Entry 10:
Compound: Rb2LiNb
Source: Alexandria via LeMat-Bulk
Functional: PBE
Structure: relaxed Values from VASP.

Energy relative to the elements = 1.260 eV per atom
DOS at the Fermi energy = 5.6 states/eV/cell
E_tot = -2.2202 eV per atom
Calculated density = 2486 kg/m³

```
&SYSTEM
  ibrav = 0, nat = 4, ntyp = 3
/
ATOMIC_SPECIES
Rb 85.47 Rb.upf
Li 6.94 Li.upf
Nb 92.91 Nb.upf
CELL_PARAMETERS angstrom
0.000 4.489 4.489
4.489 0.000 4.489
4.489 4.489 0.000
ATOMIC_POSITIONS crystal
Rb 0.250 0.250 0.250
Rb 0.750 0.750 0.750
Li 0.000 0.000 0.000
Nb 0.500 0.500 0.500
```

---

Entry 11:
Compound: Rb2LiNbS4
Source: Alexandria via LeMat-Bulk
Functional: PBE
Structure: relaxed Values from VASP.

Raw formation energy = -1215 meV per atom
DOS at the Fermi energy = 0.0 states/eV/cell
E_tot = -5.0189 eV per atom
Calculated density = 2686 kg/m³

```
&SYSTEM
  ibrav = 0, nat = 16, ntyp = 4
/
ATOMIC_SPECIES
Rb 85.47 Rb.upf
Li 6.94 Li.upf
Nb 92.91 Nb.upf
S 32.06 S.upf
CELL_PARAMETERS angstrom
0.000 6.899 12.140
2.945 0.000 12.140
2.945 6.899 0.000
ATOMIC_POSITIONS crystal
Rb 0.052 0.052 0.698
Rb 0.302 0.302 0.948
Rb 0.698 0.698 0.052
Rb 0.948 0.948 0.302
Li 0.125 0.125 0.125
Li 0.875 0.875 0.875
Nb 0.375 0.375 0.375
Nb 0.625 0.625 0.625
S 0.006 0.348 0.436
S 0.291 0.564 0.652
S 0.348 0.006 0.709
S 0.436 0.709 0.006
S 0.564 0.291 0.994
S 0.652 0.994 0.291
S 0.709 0.436 0.348
S 0.994 0.652 0.564
```

---

Entry 12:
Compound: Rb2LiNbS4
Source: Alexandria via LeMat-Bulk
Functional: PBE
Structure: relaxed Values from VASP.

Raw formation energy = -1233 meV per atom
DOS at the Fermi energy = 0.0 states/eV/cell
E_tot = -5.0361 eV per atom
Calculated density = 2775 kg/m³

```
&SYSTEM
  ibrav = 0, nat = 32, ntyp = 4
/
ATOMIC_SPECIES
Rb 85.47 Rb.upf
Li 6.94 Li.upf
Nb 92.91 Nb.upf
S 32.06 S.upf
CELL_PARAMETERS angstrom
7.216 0.000 0.000
1.353 11.504 0.000
0.656 3.867 11.508
ATOMIC_POSITIONS crystal
Rb 0.186 0.098 0.250
Rb 0.232 0.620 0.729
Rb 0.245 0.156 0.860
Rb 0.248 0.653 0.354
Rb 0.752 0.347 0.646
Rb 0.755 0.844 0.140
Rb 0.768 0.380 0.271
Rb 0.814 0.902 0.750
Li 0.299 0.485 0.078
Li 0.331 0.991 0.587
Li 0.669 0.009 0.413
Li 0.701 0.515 0.922
Nb 0.282 0.273 0.485
Nb 0.291 0.772 0.985
Nb 0.709 0.228 0.015
Nb 0.718 0.727 0.515
S 0.047 0.658 0.999
S 0.054 0.144 0.531
S 0.240 0.893 0.101
S 0.252 0.398 0.598
S 0.266 0.383 0.290
S 0.326 0.888 0.794
S 0.440 0.853 0.473
S 0.453 0.369 0.950
S 0.547 0.631 0.050
S 0.560 0.147 0.527
S 0.674 0.112 0.206
S 0.734 0.617 0.710
S 0.748 0.602 0.402
S 0.760 0.107 0.899
S 0.946 0.856 0.469
S 0.953 0.342 0.001
```

---

Entry 13:
Compound: Rb2LiNbTe
Source: Alexandria via LeMat-Bulk
Functional: PBE
Structure: relaxed Values from VASP.

Raw formation energy = 598 meV per atom
DOS at the Fermi energy = 6.9 states/eV/cell
E_tot = -2.8140 eV per atom
Calculated density = 2996 kg/m³

```
&SYSTEM
  ibrav = 0, nat = 5, ntyp = 4
/
ATOMIC_SPECIES
Rb 85.47 Rb.upf
Li 6.94 Li.upf
Nb 92.91 Nb.upf
Te 127.60 Te.upf
CELL_PARAMETERS angstrom
6.786 0.000 0.000
0.000 6.786 0.000
0.000 0.000 4.795
ATOMIC_POSITIONS crystal
Rb 0.000 0.500 0.000
Rb 0.500 0.000 0.000
Li 0.000 0.000 0.000
Nb 0.500 0.500 0.500
Te 0.000 0.000 0.500
```